1.
A geometry-optimized Pr3Hg4Au4 structure. Source: the Alexandria database, functional PBE.

Computed properties:
ΔE to the lowest computed polymorph (eV/atom): 0.009
E_form (eV per atom): -0.499
E (eV/atom): -3.10
N(E_F) (states/eV per cell): 7.22

Cell: 4.082 8.058 9.505 Å, 115.08 102.40 90.00°
Fractional coordinates of all 11 atoms:
1 Pr 0.119 0.119 0.238
2 Pr 0.881 0.881 0.762
3 Pr 0.000 0.500 0.000
4 Hg 0.339 0.150 0.678
5 Hg 0.661 0.472 0.322
6 Hg 0.661 0.850 0.322
7 Hg 0.339 0.528 0.678
8 Au 0.242 0.742 0.484
9 Au 0.758 0.258 0.516
10 Au 0.500 0.814 0.000
11 Au 0.500 0.186 0.000

2.
A geometry-optimized NaCdF3 structure. Source: the Alexandria database, functional PBE.

Computed properties:
E (eV/atom): -3.93
N(E_F) (states/eV per cell): 0.00

Cell: 3.080 6.009 5.999 Å, 59.96 90.00 90.00°
Fractional coordinates of all 5 atoms:
1 Na 0.220 0.433 0.395
2 Cd 0.220 0.099 0.062
3 F 0.720 0.262 0.739
4 F 0.720 0.260 0.225
5 F 0.720 0.776 0.224

3.
A geometry-optimized TePt2Rh2 structure. Source: the Alexandria database, functional PBE.

Computed properties:
ΔE to the lowest computed polymorph (eV/atom): 0.000
E (eV/atom): -5.85
N(E_F) (states/eV per cell): 14.40

Cell: 6.844 6.844 3.691 Å, 90.00 90.00 90.00°
Fractional coordinates of all 10 atoms:
1 Te 0.000 0.000 0.000
2 Te 0.500 0.500 0.000
3 Rh 0.358 0.858 0.000
4 Rh 0.858 0.642 0.000
5 Rh 0.642 0.142 0.000
6 Rh 0.142 0.358 0.000
7 Pt 0.149 0.649 0.500
8 Pt 0.649 0.851 0.500
9 Pt 0.851 0.351 0.500
10 Pt 0.351 0.149 0.500